No. 1
# Te3Os (meta-GGA SCAN, single point on PBEsol structure)
data_Te3Os
_chemical_formula_sum 'Te6 Os2'
_cell_length_a 8.4077
_cell_length_b 8.4077
_cell_length_c 3.6948
_cell_angle_alpha 90.00
_cell_angle_beta 90.00
_cell_angle_gamma 120.00
_space_group_name_H-M_alt 'P 63/m m c'
_space_group_IT_number 194
_space_group_name_Hall '-P 6c 2c'
loop_
_atom_site_label
_atom_site_fract_x
_atom_site_fract_y
_atom_site_fract_z
Te1 0.2041 0.4081 0.2500
Os1 0.3333 0.6667 0.7500
# Electronic total energy ... -365.4 eV per cell


No. 2
# K3Ag (meta-GGA SCAN, single point on PBEsol structure)
data_K3Ag
_chemical_formula_sum 'K3 Ag1'
_cell_length_a 4.191
_cell_length_b 4.191
_cell_length_c 10.968
_cell_angle_alpha 90.00
_cell_angle_beta 90.00
_cell_angle_gamma 90.00
_space_group_name_H-M_alt 'P 4/m m m'
_space_group_IT_number 123
_space_group_name_Hall '-P 4 2'
loop_
_atom_site_label
_atom_site_fract_x
_atom_site_fract_y
_atom_site_fract_z
K1 0.000 0.000 0.000
K2 0.500 0.500 0.329
Ag1 0.000 0.000 0.500
# Polymorph energy (0 for the lowest one) ... 8 meV per atom


No. 3
# AlAg3Sb (meta-GGA SCAN, single point on PBEsol structure)
data_AlAg3Sb
_chemical_formula_sum 'Al1 Ag3 Sb1'
_cell_length_a 4.785
_cell_length_b 4.785
_cell_length_c 4.785
_cell_angle_alpha 90.00
_cell_angle_beta 90.00
_cell_angle_gamma 90.00
_space_group_name_H-M_alt 'P m -3 m'
_space_group_IT_number 221
_space_group_name_Hall '-P 4 2 3'
loop_
_atom_site_label
_atom_site_fract_x
_atom_site_fract_y
_atom_site_fract_z
Al1 0.000 0.000 0.000
Ag1 0.000 0.000 0.500
Sb1 0.500 0.500 0.500
# Electronic total energy ... -136.6 eV per cell


- Which formula does entry 1 have?
  Te3Os